Record 1
# FeRh5, optimized geometry, DFT GGA-PBE
data_FeRh5
_cell_length_a 2.717
_cell_length_b 4.664
_cell_length_c 6.589
_cell_angle_alpha 89.48
_cell_angle_beta 90.00
_cell_angle_gamma 90.00
_space_group_name_H-M_alt 'P 1'
_space_group_IT_number 1
_space_group_name_Hall 'P 1'
loop_
_atom_site_label
_atom_site_fract_x
_atom_site_fract_y
_atom_site_fract_z
Fe1 0.000 0.000 0.000
Rh1 0.500 0.164 0.673
Rh2 0.000 0.333 0.330
Rh3 0.500 0.500 0.000
Rh4 0.000 0.667 0.670
Rh5 0.500 0.836 0.327
# Energy of formation from the pure elements   -0.01 eV/atom
# DOS at the Fermi energy   8.64 states/eV per cell
# Space-group type   P2/m, No. 10
# ρ   11.34 Mg/m³

***

Record 2
# Th3Pd3Pt4, optimized geometry, DFT GGA-PBE
data_Th3Pd3Pt4
_cell_length_a 8.218
_cell_length_b 8.218
_cell_length_c 8.218
_cell_angle_alpha 109.47
_cell_angle_beta 109.47
_cell_angle_gamma 109.47
_space_group_name_H-M_alt 'P 1'
_space_group_IT_number 1
_space_group_name_Hall 'P 1'
loop_
_atom_site_label
_atom_site_fract_x
_atom_site_fract_y
_atom_site_fract_z
Th1 0.625 0.750 0.875
Th2 0.875 0.250 0.625
Th3 0.125 0.375 0.250
Th4 0.375 0.125 0.750
Th5 0.250 0.875 0.125
Th6 0.750 0.625 0.375
Pd1 0.125 0.750 0.375
Pd2 0.375 0.250 0.125
Pd3 0.625 0.875 0.250
Pd4 0.875 0.625 0.750
Pd5 0.250 0.375 0.625
Pd6 0.750 0.125 0.875
Pt1 0.000 0.000 0.296
Pt2 0.500 0.296 0.500
Pt3 0.704 0.204 0.204
Pt4 0.000 0.000 0.796
Pt5 0.796 0.500 0.000
Pt6 0.500 0.796 0.500
Pt7 0.296 0.500 0.000
Pt8 0.204 0.704 0.704
# Energy of formation from the pure elements   -0.85 eV/atom
# DOS at the Fermi energy   7.02 states/eV per cell
# Space-group type   I-43d, No. 220
# ρ   13.96 Mg/m³

***

Record 3
# Eu3Ge2As4, optimized geometry, DFT GGA-PBE
data_Eu3Ge2As4
_cell_length_a 18.144
_cell_length_b 7.452
_cell_length_c 7.484
_cell_angle_alpha 68.74
_cell_angle_beta 90.00
_cell_angle_gamma 90.00
_space_group_name_H-M_alt 'P 1'
_space_group_IT_number 1
_space_group_name_Hall 'P 1'
loop_
_atom_site_label
_atom_site_fract_x
_atom_site_fract_y
_atom_site_fract_z
Eu1 0.315 0.488 0.226
Eu2 0.815 0.012 0.774
Eu3 0.685 0.512 0.774
Eu4 0.185 0.988 0.226
Eu5 0.061 0.491 0.252
Eu6 0.561 0.009 0.748
Eu7 0.939 0.509 0.748
Eu8 0.439 0.991 0.252
Eu9 0.562 0.501 0.259
Eu10 0.062 0.999 0.741
Eu11 0.438 0.499 0.741
Eu12 0.938 0.001 0.259
Ge1 0.874 0.465 0.207
Ge2 0.374 0.035 0.793
Ge3 0.126 0.535 0.793
Ge4 0.626 0.965 0.207
Ge5 0.742 0.078 0.317
Ge6 0.242 0.422 0.683
Ge7 0.258 0.922 0.683
Ge8 0.758 0.578 0.317
As1 0.559 0.255 0.002
As2 0.059 0.245 0.998
As3 0.441 0.745 0.998
As4 0.941 0.755 0.002
As5 0.813 0.273 0.024
As6 0.313 0.227 0.976
As7 0.187 0.727 0.976
As8 0.687 0.773 0.024
As9 0.936 0.253 0.505
As10 0.436 0.247 0.495
As11 0.064 0.747 0.495
As12 0.564 0.753 0.505
As13 0.693 0.266 0.512
As14 0.193 0.234 0.488
As15 0.307 0.734 0.488
As16 0.807 0.766 0.512
# Energy of formation from the pure elements   -0.81 eV/atom
# DOS at the Fermi energy   147.11 states/eV per cell
# Space-group type   P2_1/c, No. 14
# ρ   6.35 Mg/m³

***

Record 4
# Mn2OsBr, optimized geometry, DFT GGA-PBE
data_Mn2OsBr
_cell_length_a 6.495
_cell_length_b 6.495
_cell_length_c 6.495
_cell_angle_alpha 153.04
_cell_angle_beta 141.76
_cell_angle_gamma 47.41
_space_group_name_H-M_alt 'P 1'
_space_group_IT_number 1
_space_group_name_Hall 'P 1'
loop_
_atom_site_label
_atom_site_fract_x
_atom_site_fract_y
_atom_site_fract_z
Br1 0.303 0.803 0.500
Mn1 0.020 0.020 0.000
Mn2 0.675 0.175 0.500
Os1 0.502 0.502 0.000
# DOS at the Fermi energy   3.15 states/eV per cell
# Raw formation energy   0.66 eV/atom
# Space-group type   Imm2, No. 44
# ρ   8.24 Mg/m³

***

Record 5
# Nd6HgSe3S2, optimized geometry, DFT GGA-PBE
data_Nd6HgSe3S2
_cell_length_a 4.149
_cell_length_b 8.592
_cell_length_c 9.441
_cell_angle_alpha 103.63
_cell_angle_beta 102.69
_cell_angle_gamma 90.00
_space_group_name_H-M_alt 'P 1'
_space_group_IT_number 1
_space_group_name_Hall 'P 1'
loop_
_atom_site_label
_atom_site_fract_x
_atom_site_fract_y
_atom_site_fract_z
Nd1 0.330 0.903 0.660
Nd2 0.670 0.573 0.339
Nd3 0.670 0.097 0.340
Nd4 0.005 0.262 0.010
Nd5 0.995 0.738 0.990
Nd6 0.330 0.427 0.661
Hg1 0.500 0.000 0.000
Se1 0.500 0.500 0.000
Se2 0.835 0.169 0.670
Se3 0.165 0.831 0.330
S1 0.831 0.664 0.662
S2 0.169 0.336 0.338
# DOS at the Fermi energy   6.93 states/eV per cell
# Raw formation energy   -1.65 eV/atom
# Space-group type   C2/m, No. 12
# ρ   7.12 Mg/m³

***

Record 6
# Mg3Ni, optimized geometry, DFT GGA-PBE
data_Mg3Ni
_cell_length_a 4.138
_cell_length_b 4.138
_cell_length_c 4.140
_cell_angle_alpha 90.00
_cell_angle_beta 90.00
_cell_angle_gamma 90.00
_space_group_name_H-M_alt 'P 1'
_space_group_IT_number 1
_space_group_name_Hall 'P 1'
loop_
_atom_site_label
_atom_site_fract_x
_atom_site_fract_y
_atom_site_fract_z
Mg1 0.000 0.000 0.000
Mg2 0.500 0.000 0.500
Mg3 0.500 0.500 0.000
Ni1 0.000 0.500 0.500
# Energy of formation from the pure elements   -0.01 eV/atom
# DOS at the Fermi energy   2.05 states/eV per cell
# Space-group type   Pm-3m, No. 221
# ρ   3.08 Mg/m³

***

Record 7
# Mo2PbCl, optimized geometry, DFT GGA-PBE
data_Mo2PbCl
_cell_length_a 8.958
_cell_length_b 8.958
_cell_length_c 8.958
_cell_angle_alpha 19.86
_cell_angle_beta 19.86
_cell_angle_gamma 19.86
_space_group_name_H-M_alt 'P 1'
_space_group_IT_number 1
_space_group_name_Hall 'P 1'
loop_
_atom_site_label
_atom_site_fract_x
_atom_site_fract_y
_atom_site_fract_z
Cl1 0.750 0.750 0.750
Mo1 0.006 0.006 0.006
Mo2 0.494 0.494 0.494
Pb1 0.250 0.250 0.250
# DOS at the Fermi energy   4.85 states/eV per cell
# Raw formation energy   0.77 eV/atom
# Space-group type   R-3m, No. 166
# ρ   9.94 Mg/m³

***

Record 8
# AcMgO2F, optimized geometry, DFT GGA-PBE
data_AcMgO2F
_cell_length_a 4.126
_cell_length_b 4.126
_cell_length_c 4.005
_cell_angle_alpha 90.00
_cell_angle_beta 90.00
_cell_angle_gamma 90.00
_space_group_name_H-M_alt 'P 1'
_space_group_IT_number 1
_space_group_name_Hall 'P 1'
loop_
_atom_site_label
_atom_site_fract_x
_atom_site_fract_y
_atom_site_fract_z
Ac1 0.500 0.500 0.594
Mg1 0.000 0.000 0.001
O1 0.000 0.500 0.958
O2 0.500 0.000 0.958
F1 0.000 0.000 0.488
# DOS at the Fermi energy   0.00 states/eV per cell
# Raw formation energy   -3.22 eV/atom
# Space-group type   P4mm, No. 99
# ρ   7.36 Mg/m³